Entry 1:
Material: AgPbF4
Method: DFT, PBE
State: relaxed

The structure in POSCAR format:
```
AgPbF4
1.0
-1.5336 -2.1747 6.0064
-4.2767 -2.2357 -4.4576
6.0059 -2.1561 -1.5618
F Pb Ag
8 2 2
Direct
0.7273 0.5208 0.2066 F
0.7338 0.0374 0.3036 F
0.7874 0.9838 0.8036 F
0.3142 0.5208 0.7934 F
0.2708 0.9773 0.7066 F
0.1802 0.9838 0.1964 F
0.7338 0.4302 0.6964 F
0.2708 0.5642 0.2934 F
0.7406 0.7406 0.0000 Pb
0.4906 0.9906 0.5000 Pb
0.2502 0.2502 0.0000 Ag
0.0002 0.5002 0.5000 Ag
```

Calculated values
uncorrected energy = -4.088 eV/atom
energy relative to the elements, uncorrected = -1.75 eV per atom
space-group type = I4_1md, No. 109
E above lowest polymorph = 42 meV/atom

Entry 2:
Material: AgPb3F
Method: DFT, PBE
State: relaxed

The structure in POSCAR format:
```
AgPb3F
1.0
5.0991 0.0000 0.0000
0.0000 5.0991 0.0000
0.0000 0.0000 5.0991
Pb F Ag
3 1 1
Direct
0.5000 0.0000 0.0000 Pb
0.0000 0.0000 0.5000 Pb
0.0000 0.5000 0.0000 Pb
0.0000 0.0000 0.0000 F
0.5000 0.5000 0.5000 Ag
```

Calculated values
uncorrected energy = -3.508 eV/atom
energy relative to the elements, uncorrected = -0.34 eV per atom
space-group type = Pm-3m, No. 221
E above lowest polymorph = 0 meV/atom